Entry from Alexandria via LeMat-Bulk: AsC3Br after structural relaxation (PBE-GGA).

Output
crystal system = cubic
volume = 65 Å³/cell
uncorrected energy = -19.463 eV per cell
energy above the most stable polymorph in this dataset = 0.00 eV per formula unit
formation energy from raw total energies = 2906 meV per atom

Cell: 4.0178 4.0178 4.0178 Å, 90.00 90.00 90.00°
Space group Pm-3m (No. 221)
Asymmetric unit:
As: 0.0000 0.0000 0.0000 x1
C: 0.0000 0.0000 0.5000 x3
Br: 0.5000 0.5000 0.5000 x1



Entry from Alexandria via LeMat-Bulk: As3CBr after structural relaxation (PBE-GGA).

Output
crystal system = cubic
volume = 131 Å³/cell
uncorrected energy = -12.067 eV per cell
energy above the most stable polymorph in this dataset = 6.71 eV per formula unit
formation energy from raw total energies = 2556 meV per atom

Cell: 5.0844 5.0844 5.0844 Å, 90.00 90.00 90.00°
Space group Pm-3m (No. 221)
Asymmetric unit:
As: 0.0000 0.0000 0.5000 x3
C: 0.5000 0.5000 0.5000 x1
Br: 0.0000 0.0000 0.0000 x1



Entry from Alexandria via LeMat-Bulk: CaAsCBr2 after structural relaxation (PBE-GGA).

Output
crystal system = tetragonal
volume = 190 Å³/cell
uncorrected energy = -13.889 eV per cell
energy above the most stable polymorph in this dataset = 3.49 eV per formula unit
formation energy from raw total energies = 1066 meV per atom

Cell: 5.5561 5.5561 6.1607 Å, 90.00 90.00 90.00°
Space group P4/mmm (No. 123)
Asymmetric unit:
Ca: 0.0000 0.0000 0.0000 x1
As: 0.0000 0.0000 0.5000 x1
C: 0.5000 0.5000 0.5000 x1
Br: 0.0000 0.5000 0.0000 x2



Entry from Alexandria via LeMat-Bulk: CaAsCBr2 after structural relaxation (PBE-GGA).

Output
crystal system = tetragonal
volume = 108 Å³/cell
uncorrected energy = -17.377 eV per cell
energy above the most stable polymorph in this dataset = 0.00 eV per formula unit
formation energy from raw total energies = 369 meV per atom

Cell: 4.9352 4.9352 4.4542 Å, 90.00 90.00 90.00°
Space group P4/mmm (No. 123)
Asymmetric unit:
Ca: 0.0000 0.0000 0.0000 x1
As: 0.5000 0.5000 0.0000 x1
C: 0.5000 0.5000 0.5000 x1
Br: 0.0000 0.5000 0.5000 x2



Entry from Alexandria via LeMat-Bulk: CdAsCBr2 after structural relaxation (PBE-GGA).

Output
crystal system = tetragonal
volume = 106 Å³/cell
uncorrected energy = -13.058 eV per cell
energy above the most stable polymorph in this dataset = 0.00 eV per formula unit
formation energy from raw total energies = 1015 meV per atom

Cell: 4.9066 4.9066 4.4109 Å, 90.00 90.00 90.00°
Space group P4/mmm (No. 123)
Asymmetric unit:
Cd: 0.0000 0.0000 0.0000 x1
As: 0.5000 0.5000 0.0000 x1
C: 0.5000 0.5000 0.5000 x1
Br: 0.0000 0.5000 0.5000 x2



Entry from Alexandria via LeMat-Bulk: CdAsCBr2 after structural relaxation (PBE-GGA).

Output
crystal system = tetragonal
volume = 162 Å³/cell
uncorrected energy = -9.842 eV per cell
energy above the most stable polymorph in this dataset = 3.22 eV per formula unit
formation energy from raw total energies = 1658 meV per atom

Cell: 5.4819 5.4819 5.4066 Å, 90.00 90.00 90.00°
Space group P4/mmm (No. 123)
Asymmetric unit:
Cd: 0.0000 0.0000 0.0000 x1
As: 0.0000 0.0000 0.5000 x1
C: 0.5000 0.5000 0.5000 x1
Br: 0.0000 0.5000 0.0000 x2



Entry from Alexandria via LeMat-Bulk: AsCBr2Cl after structural relaxation (PBE-GGA).

Output
crystal system = tetragonal
volume = 142 Å³/cell
uncorrected energy = -8.600 eV per cell
energy above the most stable polymorph in this dataset = 4.74 eV per formula unit
formation energy from raw total energies = 2093 meV per atom

Cell: 5.2592 5.2592 5.1510 Å, 90.00 90.00 90.00°
Space group P4/mmm (No. 123)
Asymmetric unit:
As: 0.0000 0.0000 0.0000 x1
C: 0.5000 0.5000 0.0000 x1
Br: 0.0000 0.5000 0.5000 x2
Cl: 0.0000 0.0000 0.5000 x1



Entry from Alexandria via LeMat-Bulk: AsCBr2Cl after structural relaxation (PBE-GGA).

Output
crystal system = tetragonal
volume = 101 Å³/cell
uncorrected energy = -13.339 eV per cell
energy above the most stable polymorph in this dataset = 0.00 eV per formula unit
formation energy from raw total energies = 1145 meV per atom

Cell: 4.7300 4.7300 4.5060 Å, 90.00 90.00 90.00°
Space group P4/mmm (No. 123)
Asymmetric unit:
As: 0.0000 0.0000 0.0000 x1
C: 0.0000 0.0000 0.5000 x1
Br: 0.0000 0.5000 0.5000 x2
Cl: 0.5000 0.5000 0.0000 x1



Entry from Alexandria via LeMat-Bulk: As2CBrCl after structural relaxation (PBE-GGA).

Output
crystal system = tetragonal
volume = 96 Å³/cell
uncorrected energy = -16.326 eV per cell
energy above the most stable polymorph in this dataset = 0.00 eV per formula unit
formation energy from raw total energies = 1143 meV per atom

Cell: 4.5155 4.5155 4.7112 Å, 90.00 90.00 90.00°
Space group P4/mmm (No. 123)
Asymmetric unit:
As: 0.0000 0.5000 0.0000 x2
C: 0.0000 0.0000 0.0000 x1
Br: 0.0000 0.0000 0.5000 x1
Cl: 0.5000 0.5000 0.5000 x1



Entry from Alexandria via LeMat-Bulk: As2CBrCl after structural relaxation (PBE-GGA).

Output
crystal system = tetragonal
volume = 132 Å³/cell
uncorrected energy = -10.717 eV per cell
energy above the most stable polymorph in this dataset = 5.61 eV per formula unit
formation energy from raw total energies = 2265 meV per atom

Cell: 5.0886 5.0886 5.1147 Å, 90.00 90.00 90.00°
Space group P4/mmm (No. 123)
Asymmetric unit:
As: 0.0000 0.5000 0.0000 x2
C: 0.0000 0.0000 0.5000 x1
Br: 0.5000 0.5000 0.5000 x1
Cl: 0.5000 0.5000 0.0000 x1



Entry from Alexandria via LeMat-Bulk: CoAsCBr2 after structural relaxation (PBE-GGA).

Output
crystal system = tetragonal
volume = 110 Å³/cell
uncorrected energy = -16.500 eV per cell
energy above the most stable polymorph in this dataset = 0.07 eV per formula unit
formation energy from raw total energies = 1565 meV per atom

Cell: 4.9830 4.9830 4.4156 Å, 90.00 90.00 90.00°
Space group P4/mmm (No. 123)
Asymmetric unit:
Co: 0.0000 0.0000 0.0000 x1
As: 0.0000 0.0000 0.5000 x1
C: 0.5000 0.5000 0.5000 x1
Br: 0.0000 0.5000 0.0000 x2



Entry from Alexandria via LeMat-Bulk: CoAs2CBr after structural relaxation (PBE-GGA).

Output
crystal system = tetragonal
volume = 85 Å³/cell
uncorrected energy = -20.116 eV per cell
energy above the most stable polymorph in this dataset = 0.00 eV per formula unit
formation energy from raw total energies = 1437 meV per atom

Cell: 4.2792 4.2792 4.6178 Å, 90.00 90.00 90.00°
Space group P4/mmm (No. 123)
Asymmetric unit:
Co: 0.0000 0.0000 0.0000 x1
As: 0.0000 0.5000 0.5000 x2
C: 0.5000 0.5000 0.5000 x1
Br: 0.5000 0.5000 0.0000 x1



Entry from Alexandria via LeMat-Bulk: CoAsCBr2 after structural relaxation (PBE-GGA).

Output
crystal system = tetragonal
volume = 95 Å³/cell
uncorrected energy = -16.574 eV per cell
energy above the most stable polymorph in this dataset = 0.00 eV per formula unit
formation energy from raw total energies = 1550 meV per atom

Cell: 4.7008 4.7008 4.2886 Å, 90.00 90.00 90.00°
Space group P4/mmm (No. 123)
Asymmetric unit:
Co: 0.0000 0.0000 0.0000 x1
As: 0.5000 0.5000 0.0000 x1
C: 0.5000 0.5000 0.5000 x1
Br: 0.0000 0.5000 0.5000 x2



Entry from Alexandria via LeMat-Bulk: CoAs2CBr after structural relaxation (PBE-GGA).

Output
crystal system = tetragonal
volume = 102 Å³/cell
uncorrected energy = -19.278 eV per cell
energy above the most stable polymorph in this dataset = 0.84 eV per formula unit
formation energy from raw total energies = 1605 meV per atom

Cell: 4.4567 4.4567 5.1283 Å, 90.00 90.00 90.00°
Space group P4/mmm (No. 123)
Asymmetric unit:
Co: 0.0000 0.0000 0.0000 x1
As: 0.0000 0.5000 0.0000 x2
C: 0.5000 0.5000 0.5000 x1
Br: 0.0000 0.0000 0.5000 x1



Entry from Alexandria via LeMat-Bulk: CrAsCBr2 after structural relaxation (PBE-GGA).

Output
crystal system = tetragonal
volume = 114 Å³/cell
uncorrected energy = -18.857 eV per cell
energy above the most stable polymorph in this dataset = 1.67 eV per formula unit
formation energy from raw total energies = 1597 meV per atom

Cell: 4.9309 4.9309 4.6947 Å, 90.00 90.00 90.00°
Space group P4/mmm (No. 123)
Asymmetric unit:
Cr: 0.0000 0.0000 0.0000 x1
As: 0.0000 0.0000 0.5000 x1
C: 0.5000 0.5000 0.5000 x1
Br: 0.0000 0.5000 0.0000 x2



Entry from Alexandria via LeMat-Bulk: CrAs2CBr after structural relaxation (PBE-GGA).

Output
crystal system = tetragonal
volume = 89 Å³/cell
uncorrected energy = -23.700 eV per cell
energy above the most stable polymorph in this dataset = 0.00 eV per formula unit
formation energy from raw total energies = 1224 meV per atom

Cell: 4.3371 4.3371 4.7505 Å, 90.00 90.00 90.00°
Space group P4/mmm (No. 123)
Asymmetric unit:
Cr: 0.0000 0.0000 0.0000 x1
As: 0.0000 0.5000 0.5000 x2
C: 0.5000 0.5000 0.5000 x1
Br: 0.5000 0.5000 0.0000 x1



Entry from Alexandria via LeMat-Bulk: CrAsCBr2 after structural relaxation (PBE-GGA).

Output
crystal system = tetragonal
volume = 100 Å³/cell
uncorrected energy = -20.522 eV per cell
energy above the most stable polymorph in this dataset = 0.00 eV per formula unit
formation energy from raw total energies = 1264 meV per atom

Cell: 4.7756 4.7756 4.3695 Å, 90.00 90.00 90.00°
Space group P4/mmm (No. 123)
Asymmetric unit:
Cr: 0.0000 0.0000 0.0000 x1
As: 0.5000 0.5000 0.0000 x1
C: 0.5000 0.5000 0.5000 x1
Br: 0.0000 0.5000 0.5000 x2



Entry from Alexandria via LeMat-Bulk: CrAs2CBr after structural relaxation (PBE-GGA).

Output
crystal system = tetragonal
volume = 110 Å³/cell
uncorrected energy = -21.997 eV per cell
energy above the most stable polymorph in this dataset = 1.70 eV per formula unit
formation energy from raw total energies = 1565 meV per atom

Cell: 4.5983 4.5983 5.2052 Å, 90.00 90.00 90.00°
Space group P4/mmm (No. 123)
Asymmetric unit:
Cr: 0.0000 0.0000 0.0000 x1
As: 0.0000 0.5000 0.0000 x2
C: 0.5000 0.5000 0.5000 x1
Br: 0.0000 0.0000 0.5000 x1



Entry from Alexandria via LeMat-Bulk: CsAs2CBr after structural relaxation (PBE-GGA).

Output
crystal system = tetragonal
volume = 243 Å³/cell
uncorrected energy = -8.723 eV per cell
energy above the most stable polymorph in this dataset = 9.27 eV per formula unit
formation energy from raw total energies = 2465 meV per atom

Cell: 6.1447 6.1447 6.4351 Å, 90.00 90.00 90.00°
Space group P4/mmm (No. 123)
Asymmetric unit:
Cs: 0.0000 0.0000 0.0000 x1
As: 0.0000 0.5000 0.0000 x2
C: 0.5000 0.5000 0.5000 x1
Br: 0.0000 0.0000 0.5000 x1



Entry from Alexandria via LeMat-Bulk: CsAs2CBr after structural relaxation (PBE-GGA).

Output
crystal system = tetragonal
volume = 184 Å³/cell
uncorrected energy = -17.988 eV per cell
energy above the most stable polymorph in this dataset = 0.00 eV per formula unit
formation energy from raw total energies = 612 meV per atom

Cell: 4.4352 4.4352 9.3294 Å, 90.00 90.00 90.00°
Space group P4/mmm (No. 123)
Asymmetric unit:
Cs: 0.0000 0.0000 0.0000 x1
As: 0.0000 0.5000 0.5000 x2
C: 0.5000 0.5000 0.5000 x1
Br: 0.5000 0.5000 0.0000 x1